The following is a GGA-PBE calculation of an optimized crystal structure of Ce3Sm4YTe8, from Alexandria via LeMat-Bulk.

Values from the calculation:
E_form (uncorrected)   -1.373 eV per atom

Cell: 8.8864 8.8864 21.8973 Å, 90.00 90.00 120.00°
Space group R-3m (No. 166, hexagonal axes)
Inequivalent atoms, fractional coordinates:
Ce1 0.0000 0.5000 0.0000
Sm1 0.0000 0.0000 0.5000
Sm2 0.0000 0.5000 0.5000
Y1 0.0000 0.0000 0.0000
Te1 0.0000 0.0000 0.2488
Te2 0.0043 0.5022 0.7500

***

The following is a GGA-PBE calculation of an optimized crystal structure of CeSm2Y3Te6, from Alexandria via LeMat-Bulk.

Values from the calculation:
E_form (uncorrected)   -1.350 eV per atom

Cell: 19.273 4.383 8.896 Å, 90.00 103.86 90.00°
Space group C2/m (No. 12)
Inequivalent atoms, fractional coordinates:
Ce1 0.000 0.000 0.000
Sm1 0.166 0.500 0.331
Y1 0.000 0.000 0.500
Y2 0.167 0.500 0.834
Te1 0.002 0.500 0.744
Te2 0.166 0.000 0.587
Te3 0.169 0.000 0.080

***

The following is a GGA-PBE calculation of an optimized crystal structure of Ce2Sm3YTe6, from Alexandria via LeMat-Bulk.

Values from the calculation:
E_form (uncorrected)   -1.372 eV per atom

Cell: 19.402 4.421 8.951 Å, 90.00 103.66 90.00°
Space group C2/m (No. 12)
Inequivalent atoms, fractional coordinates:
Ce1 0.168 0.000 0.336
Sm1 0.000 0.500 0.500
Sm2 0.168 0.000 0.834
Y1 0.000 0.500 0.000
Te1 0.001 0.000 0.755
Te2 0.164 0.500 0.081
Te3 0.165 0.500 0.586

***

The following is a GGA-PBE calculation of an optimized crystal structure of Ce3Sm3YTe8, from Alexandria via LeMat-Bulk.

Values from the calculation:
E_form (uncorrected)   -1.417 eV per atom

Cell: 8.8794 8.8794 21.9457 Å, 90.00 90.00 120.00°
Space group R-3m (No. 166, hexagonal axes)
Inequivalent atoms, fractional coordinates:
Ce1 0.0000 0.5000 0.0000
Sm1 0.0000 0.5000 0.5000
Y1 0.0000 0.0000 0.5000
Te1 0.0000 0.0000 0.2488
Te2 0.0023 0.5012 0.7508

***

The following is a GGA-PBE calculation of an optimized crystal structure of Ce4SmY3Te8, from Alexandria via LeMat-Bulk.

Values from the calculation:
E_form (uncorrected)   -1.359 eV per atom

Cell: 8.8226 8.8226 22.0199 Å, 90.00 90.00 120.00°
Space group R-3m (No. 166, hexagonal axes)
Inequivalent atoms, fractional coordinates:
Ce1 0.0000 0.0000 0.0000
Ce2 0.0000 0.5000 0.0000
Sm1 0.0000 0.0000 0.5000
Y1 0.0000 0.5000 0.5000
Te1 0.0000 0.0000 0.2464
Te2 0.0032 0.5016 0.7528

***

The following is a GGA-PBE calculation of an optimized crystal structure of CeSm2Th, from Alexandria via LeMat-Bulk.

Values from the calculation:
DFT formation energy   0.098 eV per atom
ΔE to the lowest computed polymorph   12 meV/atom

Cell: 4.998 4.998 5.147 Å, 90.00 90.00 90.00°
Space group P4/mmm (No. 123)
Inequivalent atoms, fractional coordinates:
Ce1 0.000 0.000 0.000
Sm1 0.000 0.500 0.500
Th1 0.500 0.500 0.000

***

| no. | DOS(E_F) (states/eV/atom) |
| --- | --- |
| 1 | 1.628 |
| 2 | 1.039 |
| 3 | 1.477 |
| 4 | 1.582 |
| 5 | 1.911 |
| 6 | 2.144 |